A relaxed GdUSn crystal, computed with GGA-PBE.

Computed properties:
- energy (eV per atom) = -5.932
- symmetry = F-43m, No. 216

```
GdUSn
1.0
0.000 3.650 3.650
3.650 0.000 3.650
3.650 3.650 0.000
Gd Sn U
1 1 1
Cartesian
1.825 1.825 1.825
5.476 5.476 5.476
0.000 0.000 0.000
```